(1)
PrReN4: relaxed, PBE.

- Energy relative to the elements, uncorrected: -0.36 eV per formula unit

Cell lengths 7.2561, 7.2561, 7.2561 Å; angles 136.49, 136.49, 63.23 degrees
With the nearest neighbours (Å) after each atom.
Atoms (fractional coordinates):
Pr 0.3750 0.1250 0.2500  8 N 2.57-2.60
Pr 0.6250 0.8750 0.7500  8 N 2.57-2.60
Re 0.1250 0.3750 0.7500  4 N 1.83
Re 0.8750 0.6250 0.2500  4 N 1.83
N 0.0758 0.2061 0.3679  1 Re 1.83
N 0.2080 0.5758 0.3698  1 Re 1.83
N 0.2939 0.1618 0.8698  1 Re 1.83
N 0.3382 0.7080 0.1321  1 Re 1.83
N 0.6618 0.2920 0.8679  1 Re 1.83
N 0.7061 0.8382 0.1302  1 Re 1.83
N 0.7920 0.4242 0.6302  1 Re 1.83
N 0.9242 0.7939 0.6321  1 Re 1.83

***

(2)
PrSc2AlPt4: relaxed, PBE.

- Formation enthalpy at 0 K: -1.140 eV per atom

Cell lengths 9.0355, 9.0355, 9.0355 Å; angles 29.07, 29.07, 29.07 degrees
With the nearest neighbours (Å) after each atom.
Atoms (fractional coordinates):
Pr 0.0000 0.0000 0.0000  8 Pt 3.15-3.48
Sc 0.2394 0.2394 0.2394  7 Pt 2.71-2.82
Sc 0.7606 0.7606 0.7606  7 Pt 2.71-2.82
Al 0.5000 0.5000 0.5000  8 Pt 2.57-2.75
Pt 0.1340 0.1340 0.1340  4 Sc 2.73-2.82, 3 Al 2.75
Pt 0.4009 0.4009 0.4009  1 Al 2.57, 3 Sc 2.71
Pt 0.5991 0.5991 0.5991  1 Al 2.57, 3 Sc 2.71
Pt 0.8660 0.8660 0.8660  4 Sc 2.73-2.82, 3 Al 2.75

***

(3)
ScCr2Cl: relaxed, PBE.

- Relative energy among the computed polymorphs: 678.3 meV per atom
- Energy relative to the elements, uncorrected: 1.94 eV per formula unit

Cell lengths 5.8312, 5.8312, 5.8312 Å; angles 101.49, 101.49, 126.99 degrees
With the nearest neighbours (Å) after each atom.
Atoms (fractional coordinates):
Sc 0.0000 0.0000 0.0000  2 Cl 2.60
Sc 0.7500 0.2500 0.5000  2 Cl 2.60
Cr 0.1993 0.6250 0.0743  2 Cl 2.35
Cr 0.3750 0.4493 0.5743  2 Cl 2.35
Cr 0.5507 0.1250 0.9257  2 Cl 2.35
Cr 0.8750 0.8007 0.4257  2 Cl 2.35
Cl 0.2500 0.7500 0.5000  4 Cr 2.35, 2 Sc 2.60
Cl 0.5000 0.5000 0.0000  4 Cr 2.35, 2 Sc 2.60

***

(4)
SrMg2ZnRh2: relaxed, PBE.

- Formation enthalpy at 0 K: -0.234 eV per atom

Cell lengths 4.7422, 4.7422, 6.0271 Å; angles 90.00, 90.00, 90.00 degrees
With the nearest neighbours (Å) after each atom.
Atoms (fractional coordinates):
Sr 0.0000 0.0000 0.0000  2 Zn 3.01
Mg 0.5000 0.5000 0.2679  4 Rh 2.75, 1 Mg 2.80
Mg 0.5000 0.5000 0.7321  4 Rh 2.75, 1 Mg 2.80
Zn 0.0000 0.0000 0.5000  4 Rh 2.37
Rh 0.0000 0.5000 0.5000  2 Zn 2.37
Rh 0.5000 0.0000 0.5000  2 Zn 2.37

***

In the order shown, the computed total energy values come out to -8.482; -6.809; -6.371; -3.708 eV/atom.